[1]
Sm2DyInO (PBE, relaxed); crystal system = tetragonal; E_tot = -5.77 eV/atom; E_form (uncorrected) = -1.42 eV/atom
1.0
4.763 0.000 0.000
0.000 4.921 0.000
0.000 0.000 4.921
Sm O Dy In
2 1 1 1
Cartesian
0.000 2.461 0.000
0.000 0.000 2.461
0.000 0.000 0.000
2.382 0.000 0.000
2.382 2.461 2.461

---

[2]
SrDyIn4O8 (PBE, relaxed); crystal system = trigonal; E_tot = -6.08 eV/atom; E_form (uncorrected) = -2.01 eV/atom
1.0
-4.793 3.105 -3.573
-4.871 -3.602 -2.946
-6.345 0.300 2.422
O Dy In Sr
8 1 4 1
Cartesian
-9.609 1.861 -1.792
-6.435 -1.958 -2.370
-4.173 -0.024 -0.773
-9.001 -0.295 -4.283
-6.393 1.633 -2.706
-11.879 -0.166 -3.261
-9.653 -1.939 -1.437
-6.893 0.102 0.232
-6.329 0.298 2.399
-5.604 -1.632 -0.252
-6.838 -0.272 -3.765
-3.194 0.150 1.206
-5.565 1.686 -0.561
-9.174 0.076 -0.328

---

[3]
Tb2DyInO (PBE, relaxed); crystal system = tetragonal; E_tot = -5.75 eV/atom; E_form (uncorrected) = -1.43 eV/atom
1.0
-2.465 -3.910 1.208
-0.734 -0.974 -4.652
4.054 -2.586 -0.099
Dy Tb In O
1 2 1 1
Cartesian
-1.232 -1.955 0.604
-0.367 -0.487 -2.326
2.027 -1.293 -0.049
0.427 -3.735 -1.771
0.000 0.000 0.000

---

[4]
DyInTe2O8 (PBE, relaxed); crystal system = tetragonal; E_tot = -5.90 eV/atom; E_form (uncorrected) = -1.46 eV/atom
1.0
6.164 0.261 0.000
-2.500 5.640 0.000
-1.832 -2.950 5.099
Te O Dy In
2 8 1 1
Cartesian
3.082 0.130 2.550
1.832 2.950 0.000
4.692 0.843 1.558
0.339 2.344 0.948
3.007 1.889 3.541
3.157 -1.629 3.541
-0.119 1.606 4.151
1.472 -0.582 1.558
0.119 -1.606 4.151
3.324 3.556 0.948
-1.250 2.820 2.550
0.000 0.000 0.000

---

[5]
DyIn2TeO8 (PBE, relaxed); crystal system = monoclinic; E_tot = -6.05 eV/atom; E_form (uncorrected) = -1.65 eV/atom
1.0
4.895 -0.045 -0.003
-0.018 4.897 -0.005
0.004 0.007 6.779
In O Dy Te
2 8 1 1
Cartesian
2.442 2.432 5.135
2.440 2.428 1.636
3.990 0.873 1.462
0.892 3.986 5.309
3.478 3.465 -0.006
1.404 1.395 6.776
3.328 3.322 3.384
0.890 3.983 1.460
1.553 1.538 3.387
3.992 0.877 5.310
0.002 0.004 3.389
0.000 0.000 0.000

---

[6]
Dy4TlInO (PBE, relaxed); crystal system = orthorhombic; E_tot = -5.14 eV/atom; E_form (uncorrected) = -1.08 eV/atom
1.0
-2.133 4.848 -3.878
-5.789 -0.071 3.095
3.875 3.114 7.319
Dy Tl O In
8 2 2 2
Cartesian
-0.957 1.522 5.207
-3.896 0.827 3.176
1.937 1.557 3.659
-2.023 3.946 3.268
-0.151 7.065 3.360
-1.980 4.605 6.846
0.871 3.981 1.720
-2.067 3.287 -0.310
-3.221 6.684 4.572
-0.826 1.208 1.965
-2.946 2.700 4.996
-1.101 5.192 1.540
-4.781 3.607 1.583
0.734 4.285 4.953

---

[7]
DyUInO6 (PBE, relaxed); crystal system = trigonal; E_tot = -8.15 eV/atom; E_form (uncorrected) = -2.77 eV/atom
1.0
5.560 0.000 0.000
-2.780 4.815 0.000
0.000 0.000 9.813
U O In Dy
2 12 2 2
Cartesian
2.780 1.605 2.453
0.000 3.210 7.360
-1.768 3.200 8.500
1.768 3.200 6.220
-0.875 4.746 6.220
0.893 1.684 8.500
1.887 3.131 1.313
-0.893 1.684 6.220
4.548 1.615 1.313
1.905 0.069 1.313
0.875 4.746 8.500
1.012 1.615 3.594
3.655 0.069 3.594
3.673 3.131 3.594
2.780 1.605 7.360
0.000 3.210 2.453
0.000 0.000 0.000
0.000 0.000 4.907